Entry 1:
Material: Si2TeRh2
Method: DFT, GGA-PBE
State: optimized geometry

Output
Its energy relative to the elements, uncorrected is -0.500 eV/atom. As for the energy above the lowest structure with this stoichiometry: 0 meV per atom.

Structure (CIF):
```
data_Si2TeRh2
_symmetry_space_group_name_H-M 'I 4/m m m'
_symmetry_Int_Tables_number 139
_symmetry_space_group_name_Hall '-I 4 2'
_cell_length_a 3.703
_cell_length_b 3.703
_cell_length_c 12.502
_cell_angle_alpha 90.00
_cell_angle_beta 90.00
_cell_angle_gamma 90.00
loop_
_atom_site_label
_atom_site_type_symbol
_atom_site_fract_x
_atom_site_fract_y
_atom_site_fract_z
Si1 Si 0.000 0.500 0.250
Te1 Te 0.000 0.000 0.000
Rh1 Rh 0.000 0.000 0.369
```

=====

Entry 2:
Material: SrLaH6Rh2
Method: DFT, GGA-PBE
State: optimized geometry

Output
The total energy comes out at -4.462 eV/atom.

Structure (CIF):
```
data_SrLaH6Rh2
_symmetry_space_group_name_H-M 'R -3 m'
_symmetry_Int_Tables_number 166
_symmetry_space_group_name_Hall '-R 3 2"'
_cell_length_a 5.1923
_cell_length_b 5.1923
_cell_length_c 15.3034
_cell_angle_alpha 90.00
_cell_angle_beta 90.00
_cell_angle_gamma 120.00
loop_
_atom_site_label
_atom_site_type_symbol
_atom_site_fract_x
_atom_site_fract_y
_atom_site_fract_z
Sr1 Sr 0.0000 0.0000 0.0000
La1 La 0.0000 0.0000 0.5000
H1 H 0.0525 0.5262 0.4467
Rh1 Rh 0.0000 0.0000 0.2886
```

=====

Entry 3:
Material: RbLiCeS3
Method: DFT, GGA-PBE
State: optimized geometry

Output
Its energy relative to the elements, uncorrected is -1.586 eV/atom.

Structure (CIF):
```
data_RbLiCeS3
_symmetry_space_group_name_H-M 'P 1 21/m 1'
_symmetry_Int_Tables_number 11
_cell_length_a 9.009
_cell_length_b 4.182
_cell_length_c 9.331
_cell_angle_alpha 90.00
_cell_angle_beta 107.27
_cell_angle_gamma 90.00
loop_
_symmetry_equiv_pos_as_xyz
'x,y,z'
'-x,-y,-z'
'-x,y+1/2,-z'
'x,-y+1/2,z'
loop_
_atom_site_label
_atom_site_type_symbol
_atom_site_fract_x
_atom_site_fract_y
_atom_site_fract_z
Rb1 Rb 0.207 0.250 0.253
Li1 Li 0.080 0.250 0.594
Ce1 Ce 0.321 0.750 0.842
S1 S 0.135 0.250 0.865
S2 S 0.196 0.750 0.547
S3 S 0.471 0.750 0.151
```

=====

Entry 4:
Material: Rb2PmAu2O6
Method: DFT, GGA-PBE
State: optimized geometry

Output
Its energy relative to the elements, uncorrected is -1.022 eV/atom.

Structure (CIF):
```
data_Rb2PmAu2O6
_symmetry_space_group_name_H-M 'C 1 2/m 1'
_symmetry_Int_Tables_number 12
_cell_length_a 11.762
_cell_length_b 5.967
_cell_length_c 7.833
_cell_angle_alpha 90.00
_cell_angle_beta 122.91
_cell_angle_gamma 90.00
loop_
_symmetry_equiv_pos_as_xyz
'x,y,z'
'-x,-y,-z'
'-x,y,-z'
'x,-y,z'
'x+1/2,y+1/2,z'
'-x+1/2,-y+1/2,-z'
'-x+1/2,y+1/2,-z'
'x+1/2,-y+1/2,z'
loop_
_atom_site_label
_atom_site_type_symbol
_atom_site_fract_x
_atom_site_fract_y
_atom_site_fract_z
Rb1 Rb 0.213 0.000 0.125
Pm1 Pm 0.000 0.000 0.500
Au1 Au 0.088 0.500 0.281
O1 O 0.039 0.266 0.748
O2 O 0.237 0.000 0.683
```

=====

Entry 5:
Material: Cs2CdSiI6
Method: DFT, GGA-PBE
State: optimized geometry

Output
Its energy relative to the elements, uncorrected is -0.794 eV/atom.

Structure (CIF):
```
data_Cs2CdSiI6
_symmetry_space_group_name_H-M 'F m -3 m'
_symmetry_Int_Tables_number 225
_symmetry_space_group_name_Hall '-F 4 2 3'
_cell_length_a 11.930
_cell_length_b 11.930
_cell_length_c 11.930
_cell_angle_alpha 90.00
_cell_angle_beta 90.00
_cell_angle_gamma 90.00
loop_
_atom_site_label
_atom_site_type_symbol
_atom_site_fract_x
_atom_site_fract_y
_atom_site_fract_z
Cs1 Cs 0.250 0.250 0.250
Cd1 Cd 0.000 0.000 0.000
Si1 Si 0.000 0.000 0.500
I1 I 0.000 0.000 0.255
```

=====

Entry 6:
Material: BMo2I
Method: DFT, GGA-PBE
State: optimized geometry

Output
Its energy relative to the elements, uncorrected is 0.942 eV/atom. As for the energy above the lowest structure with this stoichiometry: 0 meV per atom.

Structure (CIF):
```
data_BMo2I
_symmetry_space_group_name_H-M 'I -4 2 d'
_symmetry_Int_Tables_number 122
_symmetry_space_group_name_Hall 'I -4 2bw'
_cell_length_a 4.852
_cell_length_b 4.852
_cell_length_c 13.280
_cell_angle_alpha 90.00
_cell_angle_beta 90.00
_cell_angle_gamma 90.00
loop_
_atom_site_label
_atom_site_type_symbol
_atom_site_fract_x
_atom_site_fract_y
_atom_site_fract_z
B1 B 0.000 0.000 0.000
Mo1 Mo 0.129 0.250 0.125
I1 I 0.000 0.000 0.500
```

=====

Entry 7:
Material: ZrTiAl
Method: DFT, GGA-PBE
State: optimized geometry

Output
As for the energy above the lowest structure with this stoichiometry: 62 meV per atom. Its energy of formation is -0.27 eV per atom.

Structure (CIF):
```
data_ZrTiAl
_symmetry_space_group_name_H-M 'P m m 2'
_symmetry_Int_Tables_number 25
_cell_length_a 3.037
_cell_length_b 3.906
_cell_length_c 9.436
_cell_angle_alpha 90.00
_cell_angle_beta 90.00
_cell_angle_gamma 90.00
loop_
_symmetry_equiv_pos_as_xyz
'x,y,z'
'-x,-y,z'
'-x,y,z'
'x,-y,z'
loop_
_atom_site_label
_atom_site_type_symbol
_atom_site_fract_x
_atom_site_fract_y
_atom_site_fract_z
Zr1 Zr 0.000 0.000 0.000
Zr2 Zr 0.000 0.000 0.342
Ti1 Ti 0.000 0.000 0.672
Ti2 Ti 0.500 0.500 0.517
Al1 Al 0.500 0.500 0.173
Al2 Al 0.500 0.500 0.821
```

=====

Entry 8:
Material: YNi4As
Method: DFT, GGA-PBE
State: optimized geometry

Output
Its energy of formation is -0.28 eV per atom.

Structure (CIF):
```
data_YNi4As
_symmetry_space_group_name_H-M 'F -4 3 m'
_symmetry_Int_Tables_number 216
_symmetry_space_group_name_Hall 'F -4 2 3'
_cell_length_a 6.971
_cell_length_b 6.971
_cell_length_c 6.971
_cell_angle_alpha 90.00
_cell_angle_beta 90.00
_cell_angle_gamma 90.00
loop_
_atom_site_label
_atom_site_type_symbol
_atom_site_fract_x
_atom_site_fract_y
_atom_site_fract_z
Y1 Y 0.000 0.000 0.000
Ni1 Ni 0.125 0.125 0.375
As1 As 0.250 0.250 0.750
```

=====

Magnetization readings, ordered: 0.00, 0.00, 0.00, 2.17, 0.00, 0.00, 0.00, 1.44 μB per cell
Calculated volume readings, ordered: 171, 357, 336, 462, 1698, 313, 112, 339 Å³ per cell